Version A
The following is a GGA-PBE calculation of crystalline InReP2O at its relaxed geometry, from the Alexandria database.

CIF file:
```
data_InReP2O
_chemical_formula_sum 'In1 Re1 P2 O1'
_cell_length_a 4.8496
_cell_length_b 4.8496
_cell_length_c 3.7553
_cell_angle_alpha 90.00
_cell_angle_beta 90.00
_cell_angle_gamma 90.00
_symmetry_space_group_name_H-M 'P 4/m m m'
_symmetry_Int_Tables_number 123
_symmetry_space_group_name_Hall '-P 4 2'
loop_
_atom_site_label
_atom_site_fract_x
_atom_site_fract_y
_atom_site_fract_z
In1 0.0000 0.0000 0.0000
Re1 0.5000 0.5000 0.5000
P1 0.0000 0.5000 0.5000
O1 0.5000 0.5000 0.0000
```

Properties
- density of states at the Fermi level (states/eV/cell) = 3.69
- ρ (kg/m³) = 7125
- crystal system = tetragonal

Version B
The following is a GGA-PBE calculation of crystalline InReP2O at its relaxed geometry, from the Alexandria database.

CIF file:
```
data_InReP2O
_chemical_formula_sum 'In1 Re1 P2 O1'
_cell_length_a 5.0301
_cell_length_b 5.0301
_cell_length_c 3.8974
_cell_angle_alpha 90.00
_cell_angle_beta 90.00
_cell_angle_gamma 90.00
_symmetry_space_group_name_H-M 'P 4/m m m'
_symmetry_Int_Tables_number 123
_symmetry_space_group_name_Hall '-P 4 2'
loop_
_atom_site_label
_atom_site_fract_x
_atom_site_fract_y
_atom_site_fract_z
In1 0.0000 0.0000 0.0000
Re1 0.5000 0.5000 0.5000
P1 0.0000 0.5000 0.0000
O1 0.0000 0.0000 0.5000
```

Properties
- density of states at the Fermi level (states/eV/cell) = 4.47
- ρ (kg/m³) = 6382
- crystal system = tetragonal

On energetic grounds, version A is preferred over the next structure by 145.0 kJ/mol of atoms.